PBE La2TeMoPb, optimized geometry; VASP energy = -5.607 eV/atom; E_form (uncorrected) = -0.100 eV/atom; size of the total moment = 0.0 μB per formula unit
1.0
5.490 0.000 0.000
0.000 5.490 0.000
0.000 0.000 5.176
La Te Mo Pb
2 1 1 1
Direct
0.000 0.500 0.000
0.500 0.000 0.000
0.000 0.000 0.500
0.000 0.000 0.000
0.500 0.500 0.500